(1)
# La6HPb3 GGA-PBE optimized geometry
data_La6HPb3
_space_group_name_H-M_alt 'C m c 21'
_space_group_IT_number 36
_cell_length_a 12.2823
_cell_length_b 15.5284
_cell_length_c 7.4790
_cell_angle_alpha 90.00
_cell_angle_beta 90.00
_cell_angle_gamma 90.00
loop_
_space_group_symop_operation_xyz
'x,y,z'
'-x,-y,z+1/2'
'-x,y,z'
'x,-y,z+1/2'
'x+1/2,y+1/2,z'
'-x+1/2,-y+1/2,z+1/2'
'-x+1/2,y+1/2,z'
'x+1/2,-y+1/2,z+1/2'
loop_
_atom_site_label
_atom_site_fract_x
_atom_site_fract_y
_atom_site_fract_z
La1 0.0000 0.0434 0.0000
La2 0.0000 0.2166 0.5713
La3 0.1557 0.4770 0.5593
La4 0.1652 0.2589 0.0171
H1 0.0000 0.1933 0.8949
Pb1 0.0000 0.3701 0.2738
Pb2 0.1706 0.1057 0.3276
# E, eV per atom: -4.725
# Spin magnetization, μB per formula unit: 0.18

(2)
# Pr3CO6 GGA-PBE optimized geometry
data_Pr3CO6
_space_group_name_H-M_alt 'C m c 21'
_space_group_IT_number 36
_cell_length_a 9.2479
_cell_length_b 11.4619
_cell_length_c 6.0918
_cell_angle_alpha 90.00
_cell_angle_beta 90.00
_cell_angle_gamma 90.00
loop_
_space_group_symop_operation_xyz
'x,y,z'
'-x,-y,z+1/2'
'-x,y,z'
'x,-y,z+1/2'
'x+1/2,y+1/2,z'
'-x+1/2,-y+1/2,z+1/2'
'-x+1/2,y+1/2,z'
'x+1/2,-y+1/2,z+1/2'
loop_
_atom_site_label
_atom_site_fract_x
_atom_site_fract_y
_atom_site_fract_z
Pr1 0.0000 0.0993 0.0000
Pr2 0.2042 0.3872 0.9758
C1 0.0000 0.3150 0.3123
O1 0.0000 0.2874 0.8639
O2 0.0000 0.4306 0.2830
O3 0.1242 0.2574 0.3160
O4 0.1605 0.0089 0.7418
# Formation energy without anion corrections, meV/atom: -2569
# E, eV per atom: -7.901
# Spin magnetization, μB per formula unit: 0.00

(3)
# TlCr3Ni GGA-PBE optimized geometry
data_TlCr3Ni
_space_group_name_H-M_alt 'P m -3 m'
_space_group_IT_number 221
_space_group_name_Hall '-P 4 2 3'
_cell_length_a 5.1004
_cell_length_b 5.1004
_cell_length_c 5.1004
_cell_angle_alpha 90.00
_cell_angle_beta 90.00
_cell_angle_gamma 90.00
loop_
_atom_site_label
_atom_site_fract_x
_atom_site_fract_y
_atom_site_fract_z
Tl1 0.0000 0.0000 0.0000
Cr1 0.0000 0.0000 0.5000
Ni1 0.5000 0.5000 0.5000
# E, eV per atom: -5.394
# Calculated formation energy, eV/f.u.: 10.05
# Spin magnetization, μB per formula unit: 12.69
# Offset from the most stable computed form, meV/atom: 952

(4)
# TiNb2Se2S4 GGA-PBE optimized geometry
data_TiNb2Se2S4
_space_group_name_H-M_alt 'P 3 m 1'
_space_group_IT_number 156
_cell_length_a 3.3939
_cell_length_b 3.3939
_cell_length_c 21.0688
_cell_angle_alpha 90.00
_cell_angle_beta 90.00
_cell_angle_gamma 120.00
loop_
_space_group_symop_operation_xyz
'x,y,z'
'-y,x-y,z'
'-x+y,-x,z'
'-y,-x,z'
'-x+y,y,z'
'x,x-y,z'
loop_
_atom_site_label
_atom_site_fract_x
_atom_site_fract_y
_atom_site_fract_z
Ti1 0.0000 0.0000 0.0000
Nb1 0.0000 0.0000 0.6513
Nb2 0.6667 0.3333 0.3291
Se1 0.6667 0.3333 0.0782
Se2 0.6667 0.3333 0.9218
S1 0.0000 0.0000 0.2552
S2 0.0000 0.0000 0.4029
S3 0.6667 0.3333 0.5775
S4 0.6667 0.3333 0.7252
# Formation energy without anion corrections, meV/atom: -1009
# E, eV per atom: -6.733
# Spin magnetization, μB per formula unit: 0.00

(5)
# Rb2NaHgAu GGA-PBE optimized geometry
data_Rb2NaHgAu
_space_group_name_H-M_alt 'P 4/m m m'
_space_group_IT_number 123
_space_group_name_Hall '-P 4 2'
_cell_length_a 6.6601
_cell_length_b 6.6601
_cell_length_c 5.4947
_cell_angle_alpha 90.00
_cell_angle_beta 90.00
_cell_angle_gamma 90.00
loop_
_atom_site_label
_atom_site_fract_x
_atom_site_fract_y
_atom_site_fract_z
Rb1 0.0000 0.5000 0.0000
Na1 0.0000 0.0000 0.5000
Hg1 0.5000 0.5000 0.5000
Au1 0.5000 0.5000 0.0000
# E, eV per atom: -1.483
# Calculated formation energy, eV/f.u.: -0.58
# Spin magnetization, μB per formula unit: 0.00
# Offset from the most stable computed form, meV/atom: 93

(6)
# La3Pr3Er GGA-PBE optimized geometry
data_La3Pr3Er
_space_group_name_H-M_alt 'R -3'
_space_group_IT_number 148
_space_group_name_Hall '-R 3'
_cell_length_a 8.9214
_cell_length_b 8.9214
_cell_length_c 22.2730
_cell_angle_alpha 90.00
_cell_angle_beta 90.00
_cell_angle_gamma 120.00
loop_
_atom_site_label
_atom_site_fract_x
_atom_site_fract_y
_atom_site_fract_z
La1 0.0034 0.7560 0.0569
Pr1 0.0497 0.6030 0.8812
Er1 0.0000 0.0000 0.3467
# E, eV per atom: -4.604
# Calculated formation energy, eV/f.u.: 1.46
# Spin magnetization, μB per formula unit: 0.00
# Offset from the most stable computed form, meV/atom: 178

(7)
# Mn2ZnMo GGA-PBE optimized geometry
data_Mn2ZnMo
_space_group_name_H-M_alt 'R 3 m'
_space_group_IT_number 160
_space_group_name_Hall 'R 3 -2"'
_cell_length_a 2.6309
_cell_length_b 2.6309
_cell_length_c 26.0736
_cell_angle_alpha 90.00
_cell_angle_beta 90.00
_cell_angle_gamma 120.00
loop_
_atom_site_label
_atom_site_fract_x
_atom_site_fract_y
_atom_site_fract_z
Mn1 0.0000 0.0000 0.0000
Mn2 0.0000 0.0000 0.2630
Zn1 0.0000 0.0000 0.7504
Mo1 0.0000 0.0000 0.5102
# E, eV per atom: -7.384
# Calculated formation energy, eV/f.u.: 0.91
# Spin magnetization, μB per formula unit: 0.00

(8)
# Pr6Sm3Tm2Tl GGA-PBE optimized geometry
data_Pr6Sm3Tm2Tl
_space_group_name_H-M_alt 'C 1 2/m 1'
_space_group_IT_number 12
_cell_length_a 6.2842
_cell_length_b 10.9381
_cell_length_c 11.8839
_cell_angle_alpha 90.00
_cell_angle_beta 100.47
_cell_angle_gamma 90.00
loop_
_space_group_symop_operation_xyz
'x,y,z'
'-x,-y,-z'
'-x,y,-z'
'x,-y,z'
'x+1/2,y+1/2,z'
'-x+1/2,-y+1/2,-z'
'-x+1/2,y+1/2,-z'
'x+1/2,-y+1/2,z'
loop_
_atom_site_label
_atom_site_fract_x
_atom_site_fract_y
_atom_site_fract_z
Pr1 0.2438 0.1640 0.2436
Pr2 0.2471 0.0000 0.7538
Sm1 0.0000 0.1688 0.5000
Sm2 0.0000 0.5000 0.5000
Tm1 0.0000 0.3343 0.0000
Tl1 0.0000 0.0000 0.0000
# E, eV per atom: -4.512
# Calculated formation energy, eV/f.u.: -0.01
# Spin magnetization, μB per formula unit: 0.00

(9)
# PrNd4Hg7 GGA-PBE optimized geometry
data_PrNd4Hg7
_space_group_name_H-M_alt 'C 1 2/m 1'
_space_group_IT_number 12
_cell_length_a 12.9864
_cell_length_b 5.7226
_cell_length_c 11.4568
_cell_angle_alpha 90.00
_cell_angle_beta 123.47
_cell_angle_gamma 90.00
loop_
_space_group_symop_operation_xyz
'x,y,z'
'-x,-y,-z'
'-x,y,-z'
'x,-y,z'
'x+1/2,y+1/2,z'
'-x+1/2,-y+1/2,-z'
'-x+1/2,y+1/2,-z'
'x+1/2,-y+1/2,z'
loop_
_atom_site_label
_atom_site_fract_x
_atom_site_fract_y
_atom_site_fract_z
Pr1 0.0000 0.0000 0.0000
Nd1 0.0815 0.5000 0.7771
Nd2 0.2438 0.5000 0.3306
Hg1 0.0000 0.5000 0.0000
Hg2 0.0751 0.0000 0.3304
Hg3 0.1380 0.5000 0.5382
Hg4 0.2074 0.0000 0.9118
# E, eV per atom: -2.493
# Calculated formation energy, eV/f.u.: -3.95
# Spin magnetization, μB per formula unit: 0.00

(10)
# Ti3Zn2Ni3 GGA-PBE optimized geometry
data_Ti3Zn2Ni3
_space_group_name_H-M_alt 'I m m m'
_space_group_IT_number 71
_space_group_name_Hall '-I 2 2'
_cell_length_a 3.7336
_cell_length_b 3.8744
_cell_length_c 15.0555
_cell_angle_alpha 90.00
_cell_angle_beta 90.00
_cell_angle_gamma 90.00
loop_
_atom_site_label
_atom_site_fract_x
_atom_site_fract_y
_atom_site_fract_z
Ti1 0.0000 0.0000 0.0000
Ti2 0.0000 0.5000 0.1195
Zn1 0.0000 0.0000 0.2478
Ni1 0.0000 0.0000 0.5000
Ni2 0.0000 0.5000 0.3721
# E, eV per atom: -5.714
# Calculated formation energy, eV/f.u.: -2.13
# Spin magnetization, μB per formula unit: 1.16

(11)
# Dy3Zn6Ag5 GGA-PBE optimized geometry
data_Dy3Zn6Ag5
_space_group_name_H-M_alt 'I m m m'
_space_group_IT_number 71
_space_group_name_Hall '-I 2 2'
_cell_length_a 4.4191
_cell_length_b 9.3860
_cell_length_c 13.0918
_cell_angle_alpha 90.00
_cell_angle_beta 90.00
_cell_angle_gamma 90.00
loop_
_atom_site_label
_atom_site_fract_x
_atom_site_fract_y
_atom_site_fract_z
Dy1 0.0000 0.0000 0.0000
Dy2 0.0000 0.0000 0.2984
Zn1 0.0000 0.1850 0.5000
Zn2 0.0000 0.2870 0.1294
Ag1 0.0000 0.3530 0.3344
Ag2 0.0000 0.5000 0.0000
# E, eV per atom: -2.800
# Calculated formation energy, eV/f.u.: -3.49
# Spin magnetization, μB per formula unit: 0.00

(12)
# Ta2RuC GGA-PBE optimized geometry
data_Ta2RuC
_space_group_name_H-M_alt 'I -4 2 d'
_space_group_IT_number 122
_space_group_name_Hall 'I -4 2bw'
_cell_length_a 7.5146
_cell_length_b 7.5146
_cell_length_c 4.3186
_cell_angle_alpha 90.00
_cell_angle_beta 90.00
_cell_angle_gamma 90.00
loop_
_atom_site_label
_atom_site_fract_x
_atom_site_fract_y
_atom_site_fract_z
Ta1 0.1197 0.2500 0.1250
Ru1 0.0000 0.0000 0.5000
C1 0.0000 0.0000 0.0000
# E, eV per atom: -10.495
# Calculated formation energy, eV/f.u.: 0.22
# Spin magnetization, μB per formula unit: 0.00

| no. | volume (Å³/atom) |
| --- | --- |
| 1 | 35.661 |
| 2 | 16.143 |
| 3 | 26.536 |
| 4 | 23.352 |
| 5 | 48.745 |
| 6 | 36.553 |
| 7 | 13.025 |
| 8 | 33.469 |
| 9 | 29.594 |
| 10 | 13.611 |
| 11 | 19.393 |
| 12 | 15.242 |